Entry 1:
The following is a PBE calculation of Dy2ThNi6 after structural relaxation, from the Alexandria database.

Cell: 3.596 7.548 7.548 Å, 54.46 76.22 76.22°
Element x y z (fractional)
Ni: 0.500 0.676 0.324
Ni: 0.500 0.324 0.676
Ni: 0.667 0.012 0.654
Ni: 0.333 0.988 0.346
Ni: 0.333 0.346 0.988
Ni: 0.667 0.654 0.012
Dy: 0.145 0.355 0.355
Dy: 0.855 0.645 0.645
Th: 0.000 0.000 0.000

Properties
Offset from the most stable computed form = 188.3 meV/atom
Symmetry = No. 71

Entry 2:
The following is a PBE calculation of DyTh2Ni6 after structural relaxation, from the Alexandria database.

Cell: 3.581 7.649 7.649 Å, 53.99 76.46 76.46°
Element x y z (fractional)
Th: 0.646 0.854 0.854
Th: 0.354 0.146 0.146
Ni: 0.830 0.854 0.485
Ni: 0.170 0.146 0.515
Ni: 0.170 0.515 0.146
Ni: 0.000 0.819 0.181
Ni: 0.000 0.181 0.819
Ni: 0.830 0.485 0.854
Dy: 0.500 0.500 0.500

Properties
Offset from the most stable computed form = 165.3 meV/atom
Symmetry = No. 71